VASP calculation (PBE) on a relaxed structure of Li4ZnCd3.

abc: 6.389 6.713 7.269
angles: 90.00 115.97 90.00
Space group C2/m (No. 12)
Asymmetric unit:
1 Li 0.129 0.250 0.259 (multiplicity 8)
2 Zn 0.000 0.000 0.500 (multiplicity 2)
3 Cd 0.000 0.500 0.500 (multiplicity 2)
4 Cd 0.249 0.000 0.996 (multiplicity 4)

Values from the calculation:
Total moment (μB per formula unit): 0.00
DFT total energy (eV/atom): -1.6773
Formation energy from the elements (meV per atom): -218
Offset from the most stable computed form (meV/atom): 13

VASP calculation (PBE) on a relaxed structure of In2SnI5.

abc: 6.299 14.214 16.364
angles: 90.00 90.00 90.00
Space group Fmmm (No. 69)
Asymmetric unit:
1 In 0.000 0.000 0.195 (multiplicity 8)
2 Sn 0.000 0.000 0.500 (multiplicity 4)
3 I 0.000 0.000 0.000 (multiplicity 4)
4 I 0.000 0.141 0.348 (multiplicity 16)

Values from the calculation:
Formation energy without anion corrections (eV per formula unit): -2.66
Total moment (μB per formula unit): 0.00
DFT total energy (eV/atom): -2.4866
Offset from the most stable computed form (meV/atom): 33

VASP calculation (PBE) on a relaxed structure of Sb2HAu2.

abc: 5.970 5.970 5.646
angles: 90.00 90.00 90.00
Space group P4/mbm (No. 127)
Asymmetric unit:
1 Sb 0.249 0.251 0.000 (multiplicity 4)
2 H 0.000 0.000 0.500 (multiplicity 2)
3 Au 0.250 0.250 0.500 (multiplicity 4)

Values from the calculation:
Total moment (μB per formula unit): 0.00
DFT total energy (eV/atom): -3.4599